*a*
VASP calculation (GGA-PBE) on In3SiSb after structural relaxation.

Computed properties:
* mass density: 5.79 g cm⁻³
* space group: Pm-3m
* D(E_F): 0.271 states/eV/atom
* M_tot: 0.0 μB/cell

```
In3SiSb
1.0
5.2151 0.0000 0.0000
0.0000 5.2151 0.0000
0.0000 0.0000 5.2151
In Si Sb
3 1 1
Direct
0.0000 0.0000 0.5000
0.0000 0.5000 0.0000
0.5000 0.0000 0.0000
0.0000 0.0000 0.0000
0.5000 0.5000 0.5000
```

*b*
VASP calculation (GGA-PBE) on In3SiSb after structural relaxation.

Computed properties:
* mass density: 4.55 g cm⁻³
* space group: Pm-3m
* D(E_F): 0.833 states/eV/atom
* M_tot: 0.6 μB/cell

```
In3SiSb
1.0
5.6503 0.0000 0.0000
0.0000 5.6503 0.0000
0.0000 0.0000 5.6503
In Si Sb
3 1 1
Direct
0.0000 0.0000 0.5000
0.0000 0.5000 0.0000
0.5000 0.0000 0.0000
0.5000 0.5000 0.5000
0.0000 0.0000 0.0000
```

Verdict on stability: *a* comes out on top.

*a*
VASP calculation (GGA-PBE) on In2Si2Sb after structural relaxation.

Computed properties:
* mass density: 5.98 g cm⁻³
* space group: P4/mbm
* D(E_F): 0.450 states/eV/atom
* M_tot: 0.0 μB/cell

```
In2Si2Sb
1.0
8.0581 0.0000 0.0000
0.0000 8.0581 0.0000
0.0000 0.0000 3.4839
In Si Sb
4 4 2
Direct
0.1413 0.3587 0.0000
0.3587 0.8587 0.0000
0.6413 0.1413 0.0000
0.8587 0.6413 0.0000
0.1603 0.6603 0.5000
0.3397 0.1603 0.5000
0.6603 0.8397 0.5000
0.8397 0.3397 0.5000
0.0000 0.0000 0.5000
0.5000 0.5000 0.5000
```

*b*
VASP calculation (GGA-PBE) on In2Si2Sb after structural relaxation.

Computed properties:
* mass density: 5.81 g cm⁻³
* space group: I4/mmm
* D(E_F): 0.488 states/eV/atom
* M_tot: 0.0 μB/cell

```
In2Si2Sb
1.0
3.5154 0.0000 0.0000
0.0000 3.5154 0.0000
0.0000 0.0000 18.8501
In Si Sb
4 4 2
Direct
0.0000 0.0000 0.1167
0.0000 0.0000 0.8833
0.5000 0.5000 0.3833
0.5000 0.5000 0.6167
0.0000 0.5000 0.2500
0.0000 0.5000 0.7500
0.5000 0.0000 0.2500
0.5000 0.0000 0.7500
0.0000 0.0000 0.5000
0.5000 0.5000 0.0000
```

Verdict on stability: *b* comes out on top.

*a*
VASP calculation (GGA-PBE) on InSiSb3 after structural relaxation.

Computed properties:
* mass density: 5.71 g cm⁻³
* space group: Pm-3m
* D(E_F): 0.696 states/eV/atom
* M_tot: 0.0 μB/cell

```
InSiSb3
1.0
5.2880 0.0000 0.0000
0.0000 5.2880 0.0000
0.0000 0.0000 5.2880
In Si Sb
1 1 3
Direct
0.0000 0.0000 0.0000
0.5000 0.5000 0.5000
0.0000 0.5000 0.5000
0.5000 0.0000 0.5000
0.5000 0.5000 0.0000
```

*b*
VASP calculation (GGA-PBE) on InSiSb3 after structural relaxation.

Computed properties:
* mass density: 4.93 g cm⁻³
* space group: Pm-3m
* D(E_F): 1.067 states/eV/atom
* M_tot: 0.0 μB/cell

```
InSiSb3
1.0
5.5519 0.0000 0.0000
0.0000 5.5519 0.0000
0.0000 0.0000 5.5519
In Si Sb
1 1 3
Direct
0.0000 0.0000 0.0000
0.5000 0.5000 0.5000
0.0000 0.0000 0.5000
0.0000 0.5000 0.0000
0.5000 0.0000 0.0000
```

Verdict on stability: *a* comes out on top.

*a*
VASP calculation (GGA-PBE) on InSiSbTe2 after structural relaxation.

Computed properties:
* mass density: 5.69 g cm⁻³
* space group: P4/mmm
* D(E_F): 0.790 states/eV/atom
* M_tot: 0.0 μB/cell

```
InSiSbTe2
1.0
5.3519 0.0000 0.0000
0.0000 5.3519 0.0000
0.0000 0.0000 5.3011
In Si Sb Te
1 1 1 2
Direct
0.0000 0.0000 0.0000
0.5000 0.5000 0.5000
0.5000 0.5000 0.0000
0.0000 0.5000 0.5000
0.5000 0.0000 0.5000
```

*b*
VASP calculation (GGA-PBE) on InSiSbTe2 after structural relaxation.

Computed properties:
* mass density: 4.90 g cm⁻³
* space group: P4/mmm
* D(E_F): 1.063 states/eV/atom
* M_tot: 0.0 μB/cell

```
InSiSbTe2
1.0
5.6183 0.0000 0.0000
0.0000 5.6183 0.0000
0.0000 0.0000 5.5783
In Si Sb Te
1 1 1 2
Direct
0.0000 0.0000 0.0000
0.5000 0.5000 0.5000
0.0000 0.0000 0.5000
0.0000 0.5000 0.0000
0.5000 0.0000 0.0000
```

Verdict on stability: *a* comes out on top.

*a*
VASP calculation (GGA-PBE) on SmIn2Sb after structural relaxation.

Computed properties:
* mass density: 6.74 g cm⁻³
* space group: R-3m
* D(E_F): 0.890 states/eV/atom
* M_tot: 0.0 μB/cell

```
SmIn2Sb
1.0
3.5552 0.0000 0.0000
-1.7776 3.0789 0.0000
0.0000 0.0000 33.8916
Sm In Sb
3 6 3
Direct
0.0000 0.0000 0.0000
0.3333 0.6667 0.6667
0.6667 0.3333 0.3333
0.0000 0.0000 0.0941
0.0000 0.0000 0.9059
0.3333 0.6667 0.5726
0.3333 0.6667 0.7607
0.6667 0.3333 0.2393
0.6667 0.3333 0.4274
0.0000 0.0000 0.5000
0.3333 0.6667 0.1667
0.6667 0.3333 0.8333
```

*b*
VASP calculation (GGA-PBE) on SmIn2Sb after structural relaxation.

Computed properties:
* mass density: 7.82 g cm⁻³
* space group: P4/mmm
* D(E_F): 0.613 states/eV/atom
* M_tot: 0.0 μB/cell

```
SmIn2Sb
1.0
4.6454 0.0000 0.0000
0.0000 4.6454 0.0000
0.0000 0.0000 4.9365
Sm In Sb
1 2 1
Direct
0.0000 0.0000 0.0000
0.0000 0.5000 0.5000
0.5000 0.0000 0.5000
0.5000 0.5000 0.0000
```

Verdict on stability: *b* comes out on top.

*a*
VASP calculation (GGA-PBE) on SmInSb2 after structural relaxation.

Computed properties:
* mass density: 6.85 g cm⁻³
* space group: R-3m
* D(E_F): 0.626 states/eV/atom
* M_tot: 0.0 μB/cell

```
SmInSb2
1.0
4.3772 0.0000 0.0000
-2.1886 3.7908 0.0000
0.0000 0.0000 22.3009
Sm In Sb
3 3 6
Direct
0.0000 0.0000 0.0000
0.3333 0.6667 0.6667
0.6667 0.3333 0.3333
0.0000 0.0000 0.5000
0.3333 0.6667 0.1667
0.6667 0.3333 0.8333
0.0000 0.0000 0.2466
0.0000 0.0000 0.7534
0.3333 0.6667 0.4200
0.3333 0.6667 0.9133
0.6667 0.3333 0.0867
0.6667 0.3333 0.5800
```

*b*
VASP calculation (GGA-PBE) on SmInSb2 after structural relaxation.

Computed properties:
* mass density: 6.67 g cm⁻³
* space group: R3m
* D(E_F): 0.670 states/eV/atom
* M_tot: 0.0 μB/cell

```
SmInSb2
1.0
4.5566 0.0000 0.0000
-2.2783 3.9461 0.0000
0.0000 0.0000 21.1296
Sm In Sb
3 3 6
Direct
0.0000 0.0000 0.0000
0.3333 0.6667 0.6667
0.6667 0.3333 0.3333
0.0000 0.0000 0.8310
0.3333 0.6667 0.4977
0.6667 0.3333 0.1643
0.0000 0.0000 0.4183
0.0000 0.0000 0.5873
0.3333 0.6667 0.0849
0.3333 0.6667 0.2540
0.6667 0.3333 0.7516
0.6667 0.3333 0.9206
```

*c*
VASP calculation (GGA-PBE) on SmInSb2 after structural relaxation.

Computed properties:
* mass density: 7.78 g cm⁻³
* space group: P4/mmm
* D(E_F): 0.490 states/eV/atom
* M_tot: 0.0 μB/cell

```
SmInSb2
1.0
5.0410 0.0000 0.0000
0.0000 5.0410 0.0000
0.0000 0.0000 4.2745
Sm In Sb
1 1 2
Direct
0.0000 0.0000 0.0000
0.5000 0.5000 0.0000
0.0000 0.5000 0.5000
0.5000 0.0000 0.5000
```

*d*
VASP calculation (GGA-PBE) on SmInSb2 after structural relaxation.

Computed properties:
* mass density: 7.27 g cm⁻³
* space group: C2/m
* D(E_F): 0.451 states/eV/atom
* M_tot: 0.0 μB/cell

```
SmInSb2
1.0
6.2130 0.0000 0.0000
0.0000 6.2016 0.0000
-0.0249 0.0000 12.0660
Sm In Sb
4 4 8
Direct
0.0011 0.0000 0.2043
0.4989 0.5000 0.7957
0.5011 0.5000 0.2043
0.9989 0.0000 0.7957
0.0000 0.2409 0.5000
0.0000 0.7591 0.5000
0.5000 0.2591 0.5000
0.5000 0.7409 0.5000
0.0013 0.5000 0.2861
0.2500 0.2500 0.0000
0.2500 0.7500 0.0000
0.4987 0.0000 0.7139
0.5013 0.0000 0.2861
0.7500 0.2500 0.0000
0.7500 0.7500 0.0000
0.9987 0.5000 0.7139
```

Verdict on stability: *d* comes out on top.